Rb2CdInGe: relaxed, GGA-PBEsol.

Properties
Calculated formation energy, eV/atom: 0.279
Total moment, μB per formula unit: 0.00

a = 5.0646 Å, b = 6.8988 Å, c = 6.8988 Å
α = 90.00°, β = 90.00°, γ = 90.00°
Last column: nearest neighbours and their distance in Å.
Atoms (fractional coordinates):
Ge  0.5000  0.0000  0.0000  2 In 2.53
Cd  0.5000  0.5000  0.5000  8 Rb 4.28
Rb  0.0000  0.0000  0.5000  2 In 3.45
Rb  0.0000  0.5000  0.0000  2 In 3.45
In  0.0000  0.0000  0.0000  2 Ge 2.53